#i
Compound: ZrTaV2
Source: Alexandria
Functional: PBE
Structure: relaxed

a b c (Å): 3.233 4.587 4.587
angles (deg): 90.00 90.00 90.00
Element x y z (fractional)
V 0.000 0.000 0.500
V 0.000 0.500 0.000
Zr 0.500 0.500 0.500
Ta 0.500 0.000 0.000

#ii
Compound: ZrTaV2
Source: Alexandria
Functional: PBE
Structure: relaxed

a b c (Å): 3.232 3.232 6.566
angles (deg): 90.00 90.00 90.00
Element x y z (fractional)
V 0.000 0.000 0.778
V 0.000 0.000 0.222
Zr 0.500 0.500 0.500
Ta 0.500 0.500 0.000

Quick one: least stable of them? #i

#i
Compound: ZrTaV2
Source: Alexandria
Functional: PBE
Structure: relaxed

a b c (Å): 7.102 7.102 5.757
angles (deg): 51.92 51.92 90.00
Element x y z (fractional)
Ta 0.000 0.000 0.000
Ta 0.750 0.250 0.500
Zr 0.500 0.500 0.000
Zr 0.250 0.750 0.500
V 0.635 0.125 0.250
V 0.115 0.625 0.250
V 0.375 0.365 0.750
V 0.875 0.885 0.750

#ii
Compound: ZrTaV2
Source: Alexandria
Functional: PBE
Structure: relaxed

a b c (Å): 4.587 4.587 4.587
angles (deg): 60.00 60.00 60.00
Element x y z (fractional)
V 0.250 0.250 0.250
V 0.750 0.750 0.750
Zr 0.000 0.000 0.000
Ta 0.500 0.500 0.500

Quick one: least stable of them? #i

#i
Compound: TaW5
Source: Alexandria
Functional: PBE
Structure: relaxed

a b c (Å): 2.696 2.696 13.875
angles (deg): 90.00 90.00 90.00
Element x y z (fractional)
Ta 0.500 0.500 0.000
W 0.000 0.000 0.830
W 0.000 0.000 0.170
W 0.500 0.500 0.664
W 0.500 0.500 0.336
W 0.000 0.000 0.500

#ii
Compound: TaW5
Source: Alexandria
Functional: PBE
Structure: relaxed

a b c (Å): 5.263 5.263 5.263
angles (deg): 60.00 60.00 60.00
Element x y z (fractional)
Ta 0.000 0.000 0.000
W 0.625 0.625 0.125
W 0.250 0.250 0.250
W 0.625 0.625 0.625
W 0.125 0.625 0.625
W 0.625 0.125 0.625

Quick one: least stable of them? #i

#i
Compound: TaW5
Source: Alexandria
Functional: PBE
Structure: relaxed

a b c (Å): 4.526 4.532 5.310
angles (deg): 64.74 90.00 90.00
Element x y z (fractional)
Ta 0.000 0.500 0.000
W 0.500 0.332 0.336
W 0.000 0.168 0.663
W 0.500 0.000 0.000
W 0.000 0.832 0.337
W 0.500 0.668 0.664

#ii
Compound: TaW5
Source: Alexandria
Functional: PBE
Structure: relaxed

a b c (Å): 3.199 4.539 7.158
angles (deg): 108.49 90.00 90.00
Element x y z (fractional)
W 0.000 0.667 0.334
W 0.000 0.333 0.666
W 0.500 0.500 0.000
W 0.500 0.169 0.338
W 0.500 0.831 0.662
Ta 0.000 0.000 0.000

#iii
Compound: TaW5
Source: Alexandria
Functional: PBE
Structure: relaxed

a b c (Å): 5.210 5.210 4.604
angles (deg): 90.00 90.00 120.00
Element x y z (fractional)
Ta 0.000 0.000 0.000
W 0.000 0.500 0.500
W 0.333 0.667 0.000
W 0.500 0.000 0.500
W 0.500 0.500 0.500
W 0.667 0.333 0.000

Quick one: least stable of them? #iii

#i
Compound: Ta5W3
Source: Alexandria
Functional: PBE
Structure: relaxed

a b c (Å): 5.650 5.650 4.599
angles (deg): 90.00 90.00 70.84
Element x y z (fractional)
Ta 0.000 0.000 0.000
Ta 0.000 0.500 0.000
Ta 0.500 0.000 0.000
Ta 0.745 0.255 0.500
Ta 0.255 0.745 0.500
W 0.500 0.500 0.000
W 0.248 0.248 0.500
W 0.752 0.752 0.500

#ii
Compound: Ta5W3
Source: Alexandria
Functional: PBE
Structure: relaxed

a b c (Å): 7.830 7.830 5.438
angles (deg): 90.00 90.00 120.00
Element x y z (fractional)
W 0.000 0.398 0.750
W 0.000 0.602 0.250
W 0.398 0.000 0.750
W 0.398 0.398 0.250
W 0.602 0.000 0.250
W 0.602 0.602 0.750
Ta 0.000 0.227 0.250
Ta 0.000 0.773 0.750
Ta 0.227 0.000 0.250
Ta 0.227 0.227 0.750
Ta 0.333 0.667 0.000
Ta 0.333 0.667 0.500
Ta 0.667 0.333 0.000
Ta 0.667 0.333 0.500
Ta 0.773 0.000 0.750
Ta 0.773 0.773 0.250

Quick one: least stable of them? #ii

#i
Compound: Ta5W3
Source: Alexandria
Functional: PBE
Structure: relaxed

a b c (Å): 6.518 6.518 6.514
angles (deg): 90.00 90.00 90.04
Element x y z (fractional)
Ta 0.995 0.995 0.000
Ta 0.996 0.504 0.000
Ta 0.750 0.250 0.254
Ta 0.750 0.250 0.746
Ta 0.504 0.996 0.000
Ta 0.504 0.504 0.500
Ta 0.250 0.250 0.254
Ta 0.250 0.250 0.746
Ta 0.250 0.750 0.254
Ta 0.250 0.750 0.746
W 0.997 0.997 0.500
W 0.997 0.503 0.500
W 0.750 0.750 0.253
W 0.750 0.750 0.747
W 0.503 0.997 0.500
W 0.503 0.503 0.000

#ii
Compound: Ta5W3
Source: Alexandria
Functional: PBE
Structure: relaxed

a b c (Å): 3.257 3.257 13.057
angles (deg): 90.00 90.00 90.00
Element x y z (fractional)
Ta 0.000 0.000 0.245
Ta 0.500 0.500 0.621
Ta 0.500 0.500 0.379
Ta 0.000 0.000 0.755
Ta 0.000 0.000 0.000
W 0.500 0.500 0.125
W 0.500 0.500 0.875
W 0.000 0.000 0.500

Quick one: least stable of them? #i

#i
Compound: Ta4W
Source: Alexandria
Functional: PBE
Structure: relaxed

a b c (Å): 4.778 5.141 8.683
angles (deg): 101.54 99.90 110.40
Element x y z (fractional)
Ta 0.710 0.943 0.402
Ta 0.192 0.460 0.402
Ta 0.498 0.599 0.848
Ta 0.850 0.249 0.848
Ta 0.502 0.401 0.152
Ta 0.150 0.751 0.152
Ta 0.808 0.540 0.598
Ta 0.290 0.057 0.598
W 0.810 0.060 0.121
W 0.190 0.940 0.879

#ii
Compound: Ta4W
Source: Alexandria
Functional: PBE
Structure: relaxed

a b c (Å): 4.646 5.301 8.369
angles (deg): 90.00 90.00 113.07
Element x y z (fractional)
Ta 0.928 0.281 0.398
Ta 0.582 0.674 0.852
Ta 0.418 0.326 0.148
Ta 0.072 0.719 0.602
Ta 0.918 0.326 0.852
Ta 0.428 0.281 0.602
Ta 0.572 0.719 0.398
Ta 0.082 0.674 0.148
W 0.250 0.000 0.879
W 0.750 0.000 0.121

#iii
Compound: Ta4W
Source: Alexandria
Functional: PBE
Structure: relaxed

a b c (Å): 4.810 4.810 4.810
angles (deg): 90.00 90.00 90.00
Element x y z (fractional)
W 0.500 0.500 0.500
Ta 0.000 0.000 0.000
Ta 0.500 0.000 0.500
Ta 0.000 0.500 0.500
Ta 0.500 0.500 0.000

Quick one: least stable of them? #iii

#i
Compound: Ta3W4
Source: Alexandria
Functional: PBE
Structure: relaxed

a b c (Å): 3.220 11.658 3.220
angles (deg): 82.06 90.00 97.94
Element x y z (fractional)
Ta 0.000 0.000 0.000
Ta 0.288 0.576 0.712
Ta 0.712 0.424 0.288
W 0.140 0.280 0.860
W 0.428 0.856 0.572
W 0.572 0.144 0.428
W 0.860 0.720 0.140

#ii
Compound: Ta3W4
Source: Alexandria
Functional: PBE
Structure: relaxed

a b c (Å): 2.788 2.788 16.994
angles (deg): 83.62 83.62 69.27
Element x y z (fractional)
Ta 0.000 0.000 0.000
Ta 0.215 0.215 0.571
Ta 0.785 0.785 0.429
W 0.134 0.134 0.731
W 0.866 0.866 0.269
W 0.431 0.431 0.138
W 0.569 0.569 0.862

Quick one: least stable of them? #ii